# CePaTlRe PBE relaxed
# - Formation energy: -0.08 eV/atom
data_CePaTlRe
_chemical_formula_sum 'Ce1 Pa1 Tl1 Re1'
_space_group_name_H-M_alt 'P 4 m m'
_space_group_IT_number 99
_cell_length_a 3.2873
_cell_length_b 3.2873
_cell_length_c 8.9386
_cell_angle_alpha 90.00
_cell_angle_beta 90.00
_cell_angle_gamma 90.00
loop_
_space_group_symop_operation_xyz
'x,y,z'
'-y,x,z'
'-x,-y,z'
'y,-x,z'
'-x,y,z'
'y,x,z'
'x,-y,z'
'-y,-x,z'
loop_
_atom_site_label
_atom_site_type_symbol
_atom_site_fract_x
_atom_site_fract_y
_atom_site_fract_z
_atom_site_occupancy
Ce1 Ce 0.0000 0.0000 0.0000 1
Pa1 Pa 0.0000 0.0000 0.5901 1
Tl1 Tl 0.5000 0.5000 0.2954 1
Re1 Re 0.5000 0.5000 0.7836 1